1:
K3Tl4Au4 | PBE | optimized geometry

Unit cell a=4.8037 b=8.3831 c=9.3600 alpha=116.60 beta=104.87 gamma=90.00
Sites, in units of the cell vectors:
Tl 0.3294 0.5276 0.6588
Tl 0.6706 0.4724 0.3412
Tl 0.6706 0.8688 0.3412
Tl 0.3294 0.1312 0.6588
Au 0.7794 0.2794 0.5588
Au 0.5000 0.1744 0.0000
Au 0.5000 0.8256 0.0000
Au 0.2206 0.7206 0.4412
K 0.1203 0.1203 0.2405
K 0.8797 0.8797 0.7595
K 0.0000 0.5000 0.0000

As for the total magnetic moment: 0.00 Bohr magnetons per cell. Its space group is Immm (71).

---

2:
K3Tl4Au4 | PBE | optimized geometry

Unit cell a=4.6456 b=5.0014 c=15.1881 alpha=80.66 beta=81.15 gamma=89.81
Sites, in units of the cell vectors:
K 0.0000 0.0000 0.0000
K 0.8567 0.3532 0.2880
K 0.1433 0.6468 0.7120
Au 0.3126 0.8070 0.3797
Au 0.4528 0.4476 0.0946
Au 0.5472 0.5524 0.9054
Au 0.6875 0.1930 0.6203
Tl 0.7504 0.7494 0.5033
Tl 0.5924 0.0982 0.8114
Tl 0.2496 0.2506 0.4967
Tl 0.4076 0.9019 0.1886

As for the total magnetic moment: 0.00 Bohr magnetons per cell. Its space group is P-1 (2).

---

Verdict on stability: 1 comes out on top.

---

1:
K3Tl3Au2 | PBE | optimized geometry

Unit cell a=4.9714 b=6.6523 c=17.5961 alpha=90.00 beta=90.00 gamma=111.94
Sites, in units of the cell vectors:
K 0.3637 0.7274 0.7500
K 0.0625 0.1250 0.6074
K 0.9375 0.8750 0.1074
K 0.9375 0.8750 0.3926
K 0.6363 0.2726 0.2500
K 0.0625 0.1250 0.8926
Au 0.2289 0.4579 0.3925
Au 0.7711 0.5421 0.6075
Au 0.2289 0.4579 0.1075
Au 0.7711 0.5421 0.8925
Tl 0.6453 0.2906 0.4618
Tl 0.6562 0.3124 0.7500
Tl 0.3547 0.7094 0.5382
Tl 0.3438 0.6876 0.2500
Tl 0.3547 0.7094 0.9618
Tl 0.6453 0.2906 0.0382

As for the total magnetic moment: 0.00 Bohr magnetons per cell. Its space group is Cmcm (63).

---

2:
K3Tl3Au2 | PBE | optimized geometry

Unit cell a=6.5827 b=9.1099 c=17.8225 alpha=90.00 beta=90.00 gamma=90.00
Sites, in units of the cell vectors:
K 0.3975 0.9635 0.1090
K 0.1025 0.4635 0.3910
K 0.6025 0.0365 0.8910
K 0.8975 0.5365 0.8910
K 0.8694 0.8184 0.2500
K 0.6025 0.0365 0.6090
K 0.3975 0.9635 0.3910
K 0.8975 0.5365 0.6090
K 0.6306 0.3184 0.2500
K 0.3694 0.6816 0.7500
K 0.1306 0.1816 0.7500
K 0.1025 0.4635 0.1090
Au 0.1021 0.8941 0.8873
Au 0.8979 0.1059 0.1127
Au 0.6021 0.6059 0.3873
Au 0.3979 0.3941 0.8873
Au 0.3979 0.3941 0.6127
Au 0.6021 0.6059 0.1127
Au 0.8979 0.1059 0.3873
Au 0.1021 0.8941 0.6127
Tl 0.8775 0.8350 0.7500
Tl 0.3943 0.6829 0.9638
Tl 0.3775 0.6650 0.2500
Tl 0.1057 0.1829 0.9638
Tl 0.6057 0.3171 0.0362
Tl 0.8943 0.8171 0.4638
Tl 0.3943 0.6829 0.5362
Tl 0.1057 0.1829 0.5362
Tl 0.8943 0.8171 0.0362
Tl 0.6057 0.3171 0.4638
Tl 0.6225 0.3350 0.7500
Tl 0.1225 0.1650 0.2500

As for the total magnetic moment: 0.00 Bohr magnetons per cell. Its space group is Pnma (62).

---

Verdict on stability: 1 comes out on top.

---

1:
K2Tl5Au3 | PBE | optimized geometry

Unit cell a=7.3627 b=10.2598 c=10.2598 alpha=63.72 beta=68.97 gamma=68.97
Sites, in units of the cell vectors:
Tl 0.6206 0.7670 0.9917
Tl 0.8794 0.0083 0.2330
Tl 0.3794 0.2330 0.0083
Tl 0.0191 0.7309 0.7309
Tl 0.7500 0.5000 0.5000
Tl 0.9809 0.2691 0.2691
Tl 0.5191 0.7309 0.7309
Tl 0.1206 0.9917 0.7670
Tl 0.2500 0.5000 0.5000
Tl 0.4809 0.2691 0.2691
Au 0.6163 0.5100 0.2573
Au 0.2500 0.0000 0.0000
Au 0.7500 0.0000 0.0000
Au 0.3837 0.4900 0.7427
Au 0.8837 0.7427 0.4900
Au 0.1163 0.2573 0.5100
K 0.1113 0.6522 0.1251
K 0.3887 0.8749 0.3478
K 0.8887 0.3478 0.8749
K 0.6113 0.1251 0.6522

As for the total magnetic moment: 0.00 Bohr magnetons per cell. Its space group is Ibam (72).

---

2:
K2Tl5Au3 | PBE | optimized geometry

Unit cell a=4.9643 b=8.0480 c=14.6529 alpha=90.00 beta=99.75 gamma=90.00
Sites, in units of the cell vectors:
Au 0.9526 0.4712 0.9051
Au 0.2288 0.2033 0.4577
Au 0.3908 0.0370 0.7816
Au 0.7712 0.7033 0.5423
Au 0.6092 0.5370 0.2184
Au 0.0474 0.9712 0.0949
Tl 0.8750 0.7467 0.7500
Tl 0.0518 0.5945 0.1036
Tl 0.2952 0.9121 0.5904
Tl 0.1250 0.2467 0.2500
Tl 0.7048 0.4121 0.4096
Tl 0.7088 0.0058 0.4175
Tl 0.4001 0.4095 0.8002
Tl 0.9482 0.0945 0.8964
Tl 0.2912 0.5058 0.5825
Tl 0.5999 0.9095 0.1998
K 0.4773 0.7691 0.9545
K 0.8241 0.2157 0.6481
K 0.1759 0.7157 0.3519
K 0.5227 0.2691 0.0455

As for the total magnetic moment: 0.00 Bohr magnetons per cell. Its space group is Cmc2_1 (36).

---

Verdict on stability: 2 comes out on top.

---

1:
KTlZn2Au | PBE | optimized geometry

Unit cell a=5.0644 b=5.0644 c=5.6485 alpha=90.00 beta=90.00 gamma=90.00
Sites, in units of the cell vectors:
Tl 0.0000 0.0000 0.5000
Zn 0.5000 0.0000 0.0000
Zn 0.0000 0.5000 0.0000
Au 0.0000 0.0000 0.0000
K 0.5000 0.5000 0.5000

As for the total magnetic moment: 0.00 Bohr magnetons per cell. Its space group is P4/mmm (123).

---

2:
KTlZn2Au | PBE | optimized geometry

Unit cell a=5.1787 b=6.6660 c=5.1787 alpha=90.00 beta=90.00 gamma=90.00
Sites, in units of the cell vectors:
Zn 0.5000 0.0000 0.0000
Zn 0.0000 0.0000 0.5000
K 0.0000 0.5000 0.0000
Au 0.5000 0.5000 0.5000
Tl 0.0000 0.0000 0.0000

As for the total magnetic moment: 0.00 Bohr magnetons per cell. Its space group is P4/mmm (123).

---

Verdict on stability: 1 comes out on top.

---

1:
KWAu | PBE | optimized geometry

Unit cell a=4.9508 b=4.9508 c=4.9508 alpha=60.00 beta=60.00 gamma=60.00
Each line ends with the local moment (μB).
Sites, in units of the cell vectors:
K 0.0000 0.0000 0.0000  0.03
Au 0.7500 0.7500 0.7500  0.12
W 0.5000 0.5000 0.5000  2.90

As for the total magnetic moment: 4.06 Bohr magnetons per cell. Its space group is F-43m (216).

---

2:
KWAu | PBE | optimized geometry

Unit cell a=8.5603 b=8.4328 c=2.8108 alpha=83.05 beta=77.92 gamma=19.02
Sites, in units of the cell vectors:
Au 0.0129 0.0129 0.9871
W 0.6498 0.6498 0.3502
K 0.3373 0.3373 0.6627

As for the total magnetic moment: 0.00 Bohr magnetons per cell. Its space group is Fmm2 (42).

---

3:
KWAu | PBE | optimized geometry

Unit cell a=6.8401 b=6.8401 c=6.8401 alpha=157.00 beta=142.42 gamma=44.52
Sites, in units of the cell vectors:
Au 0.9519 0.9519 0.0000
K 0.6623 0.6623 0.0000
W 0.3858 0.3858 0.0000

As for the total magnetic moment: 0.00 Bohr magnetons per cell. Its space group is Imm2 (44).

---

4:
KWAu | PBE | optimized geometry

Unit cell a=5.1806 b=5.1806 c=2.7304 alpha=90.00 beta=90.00 gamma=120.00
Sites, in units of the cell vectors:
W 0.3333 0.6667 0.8332
K 0.6667 0.3333 0.3334
Au 0.0000 0.0000 0.8334

As for the total magnetic moment: 0.00 Bohr magnetons per cell. Its space group is P-6m2 (187).

---

Verdict on stability: 3 comes out on top.